Below is a relaxed Ba2TcAs crystal, with properties calculated at the GGA-PBE level.

Results
- DOS at the Fermi energy (states/eV/cell) = 4.2
- formation energy (kJ/mol of atoms) = 43.1
- M_tot (μB/atom) = 1.01

POSCAR file:
```
Ba2TcAs
1.0
-0.951 -1.974 -4.113
3.344 -2.263 -2.328
-1.313 -8.563 1.772
Tc Ba As
1 2 1
Direct
0.750 0.750 0.750
0.988 0.988 0.035
0.512 0.512 0.465
0.250 0.250 0.250
```